VASP calculation (PBE-GGA) on PrNi12Ge6 after structural relaxation.

formation energy: -276 meV per atom
D(E_F): 13.92 states/eV/cell

Unit cell a=6.709 b=6.709 c=6.709 alpha=105.04 beta=105.04 gamma=105.04
Fractional coordinates of all 19 atoms:
Ge (0.744, 0.744, 0.299)
Ni (0.421, 0.161, 0.421)
Ni (0.500, 0.120, 0.880)
Pr (0.000, 0.000, 0.000)
Ni (0.880, 0.120, 0.500)
Ni (0.161, 0.421, 0.421)
Ge (0.256, 0.701, 0.256)
Ni (0.579, 0.579, 0.839)
Ni (0.839, 0.579, 0.579)
Ni (0.421, 0.421, 0.161)
Ni (0.120, 0.500, 0.880)
Ni (0.120, 0.880, 0.500)
Ni (0.579, 0.839, 0.579)
Ge (0.299, 0.744, 0.744)
Ge (0.701, 0.256, 0.256)
Ni (0.500, 0.880, 0.120)
Ge (0.256, 0.256, 0.701)
Ni (0.880, 0.500, 0.120)
Ge (0.744, 0.299, 0.744)

=====

VASP calculation (PBE-GGA) on ZnCrCd2 after structural relaxation.

formation energy: 240 meV per atom
D(E_F): 1.22 states/eV/cell

Unit cell a=5.145 b=5.145 c=5.145 alpha=131.75 beta=131.75 gamma=70.63
Site moments in Bohr magnetons follow the coordinates.
Fractional coordinates of all 4 atoms:
Cd (0.000, 0.000, 0.000)  -0.01
Cr (0.500, 0.500, 0.000)  3.67
Cd (0.250, 0.750, 0.500)  -0.01
Zn (0.750, 0.250, 0.500)  -0.02

=====

VASP calculation (PBE-GGA) on ZrTlRe2 after structural relaxation.

formation energy: 575 meV per atom
excess energy over the best structure of this formula in the dataset: 427 meV per atom
D(E_F): 5.10 states/eV/cell

Unit cell a=5.270 b=5.270 c=5.270 alpha=134.65 beta=134.65 gamma=66.08
Fractional coordinates of all 4 atoms:
Re (0.000, 0.000, 0.000)
Tl (0.250, 0.750, 0.500)
Re (0.500, 0.500, 0.000)
Zr (0.750, 0.250, 0.500)

=====

VASP calculation (PBE-GGA) on KTl2Bi2 after structural relaxation.

formation energy: -109 meV per atom
excess energy over the best structure of this formula in the dataset: 44 meV per atom
D(E_F): 2.10 states/eV/cell

Unit cell a=5.320 b=5.919 c=7.273 alpha=115.72 beta=111.46 gamma=90.00
Fractional coordinates of all 5 atoms:
K (0.000, 0.000, 0.000)
Tl (0.382, 0.489, 0.765)
Tl (0.618, 0.511, 0.235)
Bi (0.254, 0.844, 0.508)
Bi (0.746, 0.156, 0.492)

=====

VASP calculation (PBE-GGA) on CrTePt after structural relaxation.

excess energy over the best structure of this formula in the dataset: 166 meV per atom
formation energy (no corrections): 122 meV/atom
D(E_F): 1.85 states/eV/cell

Unit cell a=4.869 b=4.869 c=4.869 alpha=135.45 beta=135.43 gamma=64.84
Site moments in Bohr magnetons follow the coordinates.
Fractional coordinates of all 3 atoms:
Pt (0.342, 0.342, 0.000)  0.09
Te (0.664, 0.664, 0.000)  -0.10
Cr (0.993, 0.993, 0.000)  3.40

=====

VASP calculation (PBE-GGA) on Th2AsC after structural relaxation.

formation energy: -521 meV per atom
D(E_F): 2.92 states/eV/cell

Unit cell a=3.838 b=3.838 c=7.492 alpha=75.16 beta=75.16 gamma=60.00
Fractional coordinates of all 4 atoms:
Th (0.242, 0.242, 0.274)
As (0.668, 0.668, 0.997)
C (0.496, 0.496, 0.511)
Th (0.094, 0.094, 0.719)

=====

VASP calculation (PBE-GGA) on Y2MnI8 after structural relaxation.

formation energy (no corrections): -1106 meV/atom

Unit cell a=4.083 b=11.141 c=11.043 alpha=87.24 beta=100.65 gamma=90.00
Site moments in Bohr magnetons follow the coordinates.
Fractional coordinates of all 11 atoms:
Y (0.850, 0.257, 0.700)  0.01
Mn (0.500, 0.000, 0.000)  4.33
I (0.597, 0.571, 0.194)  0.00
I (0.002, 0.181, 0.005)  0.07
I (0.403, 0.429, 0.806)  0.00
I (0.998, 0.819, 0.995)  0.07
I (0.757, 0.707, 0.514)  0.00
I (0.365, 0.040, 0.730)  0.03
Y (0.150, 0.743, 0.300)  0.01
I (0.635, 0.960, 0.270)  0.03
I (0.243, 0.293, 0.486)  0.00

=====

VASP calculation (PBE-GGA) on LiDyY6 after structural relaxation.

formation energy: 143 meV per atom
D(E_F): 11.19 states/eV/cell

Unit cell a=8.427 b=9.383 c=6.307 alpha=41.96 beta=48.09 gamma=56.16
Fractional coordinates of all 8 atoms:
Y (0.951, 0.569, 0.717)
Y (0.049, 0.431, 0.283)
Y (0.431, 0.763, 0.757)
Y (0.569, 0.237, 0.243)
Li (0.000, 0.000, 0.000)
Dy (0.500, 0.500, 0.500)
Y (0.237, 0.049, 0.145)
Y (0.763, 0.951, 0.855)

=====

The records above yield calculated density values of 8.06 7.65 15.21 7.63 11.11 10.02 4.20 4.74 g cm⁻³, respectively.